Entry from the Alexandria database: a relaxed SrCaAsH2 crystal (GGA-PBE).

a b c (Å): 4.508 6.588 7.020
angles (deg): 90.00 90.00 110.01
Positions (direct):
H  0.821  0.641  0.063
H  0.179  0.359  0.937
H  0.821  0.641  0.437
H  0.179  0.359  0.563
As  0.451  0.902  0.750
As  0.549  0.098  0.250
Ca  0.000  0.000  0.000
Ca  0.000  0.000  0.500
Sr  0.274  0.548  0.250
Sr  0.726  0.452  0.750

Calculated values
Space group: Cmcm, No. 63
Density of states at the Fermi level in states/eV per cell: 3.9
Energy in eV per cell: -36.5
Magnetic moment in μB per cell: 0.000